[1]
A crystal of AgSnSe2Cl relaxed with PBEsol. Source: the Alexandria database, functional meta-GGA SCAN.

Results
Uncorrected energy: -22.59 eV/atom
Size of the total moment: 0.0 Bohr magnetons per cell
Raw formation energy: 498 meV per atom

a = 5.1890 Å, b = 5.1890 Å, c = 4.6455 Å
α = 90.00°, β = 90.00°, γ = 90.00°
Space group P4/mmm (No. 123)
Asymmetric unit:
Ag1 0.0000 0.0000 0.0000 [1 per cell]
Sn1 0.5000 0.5000 0.0000 [1 per cell]
Se1 0.0000 0.5000 0.5000 [2 per cell]
Cl1 0.0000 0.0000 0.5000 [1 per cell]



[2]
A crystal of ScGaCu2Cl relaxed with PBEsol. Source: the Alexandria database, functional meta-GGA SCAN.

Results
Uncorrected energy: -13.28 eV/atom
Size of the total moment: 0.0 Bohr magnetons per cell
Raw formation energy: 517 meV per atom

a = 4.3145 Å, b = 4.3145 Å, c = 5.1635 Å
α = 90.00°, β = 90.00°, γ = 90.00°
Space group P4/mmm (No. 123)
Asymmetric unit:
Sc1 0.0000 0.0000 0.0000 [1 per cell]
Ga1 0.5000 0.5000 0.0000 [1 per cell]
Cu1 0.0000 0.5000 0.5000 [2 per cell]
Cl1 0.5000 0.5000 0.5000 [1 per cell]



[3]
A crystal of LiLa4Te relaxed with PBEsol. Source: the Alexandria database, functional meta-GGA SCAN.

Results
Uncorrected energy: -35.30 eV/atom
Size of the total moment: 0.0 Bohr magnetons per cell
Raw formation energy: 40 meV per atom

a = 9.0500 Å, b = 9.0500 Å, c = 9.0500 Å
α = 90.00°, β = 90.00°, γ = 90.00°
Space group F-43m (No. 216)
Asymmetric unit:
Li1 0.0000 0.0000 0.0000 [4 per cell]
La1 0.1237 0.1237 0.6237 [16 per cell]
Te1 0.2500 0.2500 0.2500 [4 per cell]



[4]
A crystal of CoCuPt2S relaxed with PBEsol. Source: the Alexandria database, functional meta-GGA SCAN.

Results
Uncorrected energy: -35.60 eV/atom
Size of the total moment: 1.7 Bohr magnetons per cell
Raw formation energy: 900 meV per atom

a = 4.6437 Å, b = 4.6437 Å, c = 3.8881 Å
α = 90.00°, β = 90.00°, γ = 90.00°
Space group P4/mmm (No. 123)
Asymmetric unit:
Co1 0.0000 0.0000 0.0000 [1 per cell]
Cu1 0.5000 0.5000 0.5000 [1 per cell]
Pt1 0.0000 0.5000 0.0000 [2 per cell]
S1 0.0000 0.0000 0.5000 [1 per cell]



[5]
A crystal of In2SiBr relaxed with PBEsol. Source: the Alexandria database, functional meta-GGA SCAN.

Results
Uncorrected energy: -23.90 eV/atom
Size of the total moment: 0.0 Bohr magnetons per cell
Offset from the most stable computed form: 204 meV/atom
Raw formation energy: 167 meV per atom

a = 4.7199 Å, b = 5.1297 Å, c = 7.6920 Å
α = 90.00°, β = 90.00°, γ = 90.00°
Space group Cmmm (No. 65)
Asymmetric unit:
In1 0.0000 0.0000 0.2193 [4 per cell]
Si1 0.0000 0.5000 0.0000 [2 per cell]
Br1 0.0000 0.5000 0.5000 [2 per cell]



[6]
A crystal of Cs2AgBiI6 relaxed with PBEsol. Source: the Alexandria database, functional meta-GGA SCAN.

Results
Uncorrected energy: -41.53 eV/atom
Size of the total moment: 0.0 Bohr magnetons per cell
Raw formation energy: -925 meV per atom

a = 12.2537 Å, b = 12.2537 Å, c = 12.2537 Å
α = 90.00°, β = 90.00°, γ = 90.00°
Space group Fm-3m (No. 225)
Asymmetric unit:
Cs1 0.2500 0.2500 0.2500 [8 per cell]
Ag1 0.0000 0.0000 0.0000 [4 per cell]
Bi1 0.0000 0.0000 0.5000 [4 per cell]
I1 0.0000 0.0000 0.2469 [24 per cell]



[7]
A crystal of Ag2PtAu relaxed with PBEsol. Source: the Alexandria database, functional meta-GGA SCAN.

Results
Uncorrected energy: -50.53 eV/atom
Size of the total moment: 0.0 Bohr magnetons per cell
Offset from the most stable computed form: 48 meV/atom
Formation energy from the elements: -0.005 eV/atom

a = 2.9560 Å, b = 4.6640 Å, c = 9.3993 Å
α = 90.00°, β = 90.00°, γ = 90.00°
Space group Immm (No. 71)
Asymmetric unit:
Ag1 0.0000 0.0000 0.2486 [4 per cell]
Pt1 0.0000 0.5000 0.5000 [2 per cell]
Au1 0.0000 0.5000 0.0000 [2 per cell]



[8]
A crystal of AsIrCl2 relaxed with PBEsol. Source: the Alexandria database, functional meta-GGA SCAN.

Results
Uncorrected energy: -25.66 eV/atom
Size of the total moment: 0.0 Bohr magnetons per cell
Offset from the most stable computed form: 1751 meV/atom
Raw formation energy: 1153 meV per atom

a = 4.1360 Å, b = 4.1360 Å, c = 3.8827 Å
α = 90.00°, β = 90.00°, γ = 90.00°
Space group P4/mmm (No. 123)
Asymmetric unit:
As1 0.0000 0.0000 0.0000 [1 per cell]
Ir1 0.5000 0.5000 0.0000 [1 per cell]
Cl1 0.0000 0.5000 0.5000 [2 per cell]